Density functional theory data (GGA-PBEsol) for K2CdAg2 after structural relaxation.

Properties
As for the formation energy: 0.1006 eV per atom. Its density of states at the Fermi level is 3.869 states/eV per cell. The calculation puts the magnetization at 0.0 μB per cell.

Cell and atoms, written as CIF:
```
data_K2CdAg2
_chemical_formula_sum 'K4 Cd2 Ag4'
_symmetry_space_group_name_H-M 'P 4/m b m'
_symmetry_Int_Tables_number 127
_symmetry_space_group_name_Hall '-P 4 2ab'
_cell_length_a 7.370
_cell_length_b 7.370
_cell_length_c 5.220
_cell_angle_alpha 90.00
_cell_angle_beta 90.00
_cell_angle_gamma 90.00
loop_
_atom_site_label
_atom_site_type_symbol
_atom_site_fract_x
_atom_site_fract_y
_atom_site_fract_z
_atom_site_occupancy
K1 K 0.176 0.324 0.000 1
Cd1 Cd 0.000 0.000 0.500 1
Ag1 Ag 0.132 0.632 0.500 1
```